# 1
# LiMnTc2

A relaxed LiMnTc2 crystal (PBEsol, the Alexandria database).

Lattice parameters (Å, degrees): 4.0838 4.0838 4.0838 60.00 60.00 60.00
Last column: nearest neighbours and their distance in Å.
Positions (direct):
Li  0.5000  0.5000  0.5000  8 Tc 2.50
Mn  0.0000  0.0000  0.0000  8 Tc 2.50
Tc  0.7500  0.7500  0.7500  4 Li 2.50, 4 Mn 2.50
Tc  0.2500  0.2500  0.2500  4 Mn 2.50, 4 Li 2.50

* N(E_F): 4.30 states/eV/cell
* energy relative to the elements: 1.26 eV per formula unit
* VASP energy: -8.25 eV per atom

# 2
# LiMnTl2

A relaxed LiMnTl2 crystal (PBEsol, the Alexandria database).

Lattice parameters (Å, degrees): 3.3336 4.6020 5.9757 112.65 106.20 90.00
Last column: nearest neighbours and their distance in Å.
Positions (direct):
Tl  0.7450  0.2450  0.4899  4 Mn 2.84
Mn  0.2526  0.7526  0.5052  6 Tl 2.84-2.92, 2 Li 2.94
Tl  0.9804  0.9804  0.9608  4 Li 2.87, 2 Mn 2.92
Li  0.5221  0.5221  0.0441  4 Tl 2.87, 2 Mn 2.94

* N(E_F): 2.88 states/eV/cell
* energy relative to the elements: 0.96 eV per formula unit
* VASP energy: -4.01 eV per atom

# 3
# LiMn4Tl

A relaxed LiMn4Tl crystal (PBEsol, the Alexandria database).

Lattice parameters (Å, degrees): 4.7552 4.7552 4.7552 60.00 60.00 60.00
Last column: nearest neighbours and their distance in Å.
Positions (direct):
Mn  0.8772  0.3743  0.3743  6 Mn 2.36-2.39
Mn  0.3743  0.3743  0.3743  6 Mn 2.36-2.39
Mn  0.3743  0.8772  0.3743  6 Mn 2.36-2.39
Tl  0.7500  0.7500  0.7500  12 Mn 2.79, 4 Li 2.91
Li  0.0000  0.0000  0.0000  12 Mn 2.79, 4 Tl 2.91
Mn  0.3743  0.3743  0.8772  6 Mn 2.36-2.39

* N(E_F): 7.06 states/eV/cell
* energy relative to the elements: 2.95 eV per formula unit
* VASP energy: -6.78 eV per atom

# 4
# Li2MnTl

A relaxed Li2MnTl crystal (PBEsol, the Alexandria database).

Lattice parameters (Å, degrees): 3.3506 3.3506 6.3295 90.00 90.00 90.00
Last column: nearest neighbours and their distance in Å.
Positions (direct):
Li  0.0000  0.0000  0.0052  4 Li 2.85, 4 Tl 2.87, 1 Mn 3.08
Tl  0.5000  0.5000  0.7480  4 Mn 2.87, 6 Li 2.87-3.21
Mn  0.0000  0.0000  0.4913  5 Li 2.80-3.08, 4 Tl 2.87
Li  0.5000  0.5000  0.2555  4 Mn 2.80, 4 Li 2.85, 1 Tl 3.12

* N(E_F): 2.48 states/eV/cell
* energy relative to the elements: 0.87 eV per formula unit
* VASP energy: -3.86 eV per atom

Question: N(E_F) of number 1 (LiMnTc2)?
Answer: 4.30 states/eV/cell

Question: Among the records above, which one has the lowest VASP energy?
Answer: LiMnTc2

Question: What is the formula in the first record?
Answer: LiMnTc2